Run a
This record from Alexandria describes a relaxed structure of TlGe3N. The functional is GGA-PBE.

Cell and atoms, written as extended XYZ:
```
5
Lattice="-4.365 1.035 -0.705 -0.589 -3.952 -2.158 -1.106 -1.983 3.933" Properties=species:S:1:pos:R:3 pbc="T T T"
Tl -3.030 -2.450 0.535
Ge -0.294 -1.976 -1.079
Ge -0.553 -0.992 1.966
Ge -2.183 0.518 -0.353
N 0.000 0.000 0.000
```

Values from the calculation:
D(E_F): 2.0 states/eV/f.u.
crystal system: cubic
total moment: 0.00 μB/f.u.

Run b
This record from Alexandria describes a relaxed structure of TlGe3N. The functional is GGA-PBE.

Cell and atoms, written as extended XYZ:
```
5
Lattice="-4.292 3.044 0.698 -2.979 -4.346 0.641 0.939 0.127 5.223" Properties=species:S:1:pos:R:3 pbc="T T T"
Tl 0.000 0.000 0.000
Ge -1.489 -2.173 0.321
Ge 0.470 0.063 2.611
Ge -2.146 1.522 0.349
N -3.166 -0.588 3.281
```

Values from the calculation:
D(E_F): 4.3 states/eV/f.u.
crystal system: cubic
total moment: 0.00 μB/f.u.

Most stable one: run a, least stable one: run b.

Run a
This record from Alexandria describes a relaxed structure of Tl2GeN. The functional is GGA-PBE.

Cell and atoms, written as extended XYZ:
```
8
Lattice="-1.666 -3.409 -4.676 -4.121 -2.718 3.449 -6.575 0.701 -2.046" Properties=species:S:1:pos:R:3 pbc="T T T"
Tl -3.094 -2.078 -2.705
Tl -4.534 -2.167 0.762
Tl -7.364 -1.945 -1.775
Tl -9.732 -4.661 -2.828
Ge 0.000 0.000 0.000
Ge -5.567 -2.885 -3.668
N -2.893 -3.063 -0.613
N -6.795 -2.540 0.395
```

Values from the calculation:
D(E_F): 2.1 states/eV/f.u.
crystal system: tetragonal
total moment: 0.00 μB/f.u.

Run b
This record from Alexandria describes a relaxed structure of Tl2GeN. The functional is GGA-PBE.

Cell and atoms, written as extended XYZ:
```
4
Lattice="0.000 3.503 3.503 3.503 0.000 3.503 3.503 3.503 0.000" Properties=species:S:1:pos:R:3 pbc="T T T"
Tl 1.752 1.752 1.752
Tl 5.255 5.255 5.255
Ge 3.503 3.503 3.503
N 0.000 0.000 0.000
```

Values from the calculation:
D(E_F): 3.0 states/eV/f.u.
crystal system: cubic
total moment: 1.55 μB/f.u.

Most stable one: run a, least stable one: run b.

Run a
This record from Alexandria describes a relaxed structure of TlGe2N. The functional is GGA-PBE.

Cell and atoms, written as extended XYZ:
```
4
Lattice="0.000 3.338 3.338 3.338 0.000 3.338 3.338 3.338 0.000" Properties=species:S:1:pos:R:3 pbc="T T T"
Tl 3.338 3.338 3.338
Ge 1.669 1.669 1.669
Ge 5.007 5.007 5.007
N 0.000 0.000 0.000
```

Values from the calculation:
D(E_F): 2.8 states/eV/f.u.
crystal system: cubic
total moment: 0.00 μB/f.u.

Run b
This record from Alexandria describes a relaxed structure of TlGe2N. The functional is GGA-PBE.

Cell and atoms, written as extended XYZ:
```
8
Lattice="-0.811 -5.887 -2.518 5.997 -1.588 1.781 1.256 -4.997 3.008" Properties=species:S:1:pos:R:3 pbc="T T T"
Tl 0.000 0.000 0.000
Tl 1.519 -7.311 0.061
Ge 0.646 -4.484 -0.324
Ge 3.872 -3.621 1.276
Ge 3.542 -6.725 2.174
Ge 4.825 -10.115 1.417
N 2.593 -3.738 -0.368
N 4.923 -5.161 2.211
```

Values from the calculation:
D(E_F): 1.7 states/eV/f.u.
crystal system: tetragonal
total moment: 0.00 μB/f.u.

Most stable one: run b, least stable one: run a.

Run a
This record from Alexandria describes a relaxed structure of Tm4Ge2N. The functional is GGA-PBE.

Cell and atoms, written as extended XYZ:
```
7
Lattice="-1.269 -1.792 -2.947 1.438 -4.955 2.394 -6.090 1.796 3.822" Properties=species:S:1:pos:R:3 pbc="T T T"
Tm -5.299 -1.060 0.634
Tm -0.623 -3.891 2.635
Tm -1.182 -2.111 -0.499
Tm -4.739 -2.840 3.768
Ge -3.265 -3.669 1.346
Ge -2.656 -1.282 1.923
N 0.000 0.000 0.000
```

Values from the calculation:
D(E_F): 3.8 states/eV/f.u.
crystal system: monoclinic
total moment: 0.00 μB/f.u.

Run b
This record from Alexandria describes a relaxed structure of Tm4Ge2N. The functional is GGA-PBE.

Cell and atoms, written as extended XYZ:
```
7
Lattice="4.513 0.000 0.000 0.000 4.513 0.000 2.256 2.256 7.514" Properties=species:S:1:pos:R:3 pbc="T T T"
Ge 4.513 4.513 5.435
Ge 2.256 2.256 2.079
Tm 2.256 2.256 4.984
Tm 4.513 4.513 2.530
Tm 0.000 2.256 0.000
Tm 2.256 0.000 0.000
N 0.000 0.000 0.000
```

Values from the calculation:
D(E_F): 4.6 states/eV/f.u.
crystal system: tetragonal
total moment: 0.00 μB/f.u.

Most stable one: run b, least stable one: run a.

Run a
This record from Alexandria describes a relaxed structure of VGeN. The functional is GGA-PBE.

Cell and atoms, written as extended XYZ:
```
3
Lattice="-2.894 0.469 -0.200 1.389 -1.524 -2.093 -1.138 -5.607 3.329" Properties=species:S:1:pos:R:3 pbc="T T T"
Ge -0.726 -4.248 0.550
N -0.160 -0.786 0.467
V -1.757 -1.628 0.020
```

Values from the calculation:
D(E_F): 1.7 states/eV/f.u.
crystal system: trigonal
total moment: 0.00 μB/f.u.

Run b
This record from Alexandria describes a relaxed structure of VGeN. The functional is GGA-PBE.

Cell and atoms, written as extended XYZ:
```
3
Lattice="2.942 0.026 0.023 1.445 2.563 0.023 1.421 0.839 4.855" Properties=species:S:1:pos:R:3 pbc="T T T"
N 3.071 1.812 4.077
V 0.177 0.105 0.306
Ge 3.089 1.822 2.231
```

Values from the calculation:
D(E_F): 1.4 states/eV/f.u.
crystal system: trigonal
total moment: 0.14 μB/f.u.

Run c
This record from Alexandria describes a relaxed structure of VGeN. The functional is GGA-PBE.

Cell and atoms, written as extended XYZ:
```
12
Lattice="-1.534 2.864 0.993 -3.280 -2.080 0.930 4.126 -1.605 10.972" Properties=species:S:1:pos:R:3 pbc="T T T"
V 1.481 0.482 6.305
V -2.222 0.244 1.284
V 2.476 1.228 11.485
V -1.228 0.991 6.464
Ge 1.562 1.587 9.060
Ge -2.142 1.349 4.039
Ge 0.183 0.989 2.859
Ge 0.606 -0.853 8.809
N 0.370 2.047 5.885
N 0.793 0.205 11.836
N -0.538 1.267 0.936
N -0.115 -0.575 6.887
```

Values from the calculation:
D(E_F): 1.8 states/eV/f.u.
crystal system: orthorhombic
total moment: 0.00 μB/f.u.

Most stable one: run c, least stable one: run a.

Run a
This record from Alexandria describes a relaxed structure of VGeN. The functional is GGA-PBE.

Cell and atoms, written as extended XYZ:
```
12
Lattice="-1.792 2.391 0.789 -1.502 -2.097 2.941 11.369 2.205 7.378" Properties=species:S:1:pos:R:3 pbc="T T T"
V -0.130 2.638 1.814
V 4.804 2.692 6.973
V 7.159 2.877 5.707
V 0.724 0.727 3.489
Ge 9.706 2.472 6.719
Ge 3.270 0.321 4.500
Ge 3.875 2.932 4.069
Ge 8.808 2.986 9.228
N 5.298 3.620 5.286
N -1.137 1.469 3.068
N 1.615 1.841 2.137
N 6.548 1.895 7.296
```

Values from the calculation:
D(E_F): 2.1 states/eV/f.u.
crystal system: monoclinic
total moment: 0.00 μB/f.u.

Run b
This record from Alexandria describes a relaxed structure of VGeN. The functional is GGA-PBE.

Cell and atoms, written as extended XYZ:
```
3
Lattice="-2.291 -1.521 0.089 0.501 -0.437 5.412 -1.502 2.282 0.324" Properties=species:S:1:pos:R:3 pbc="T T T"
V 0.207 -0.152 2.715
Ge -0.036 0.055 0.008
N -1.689 0.227 2.922
```

Values from the calculation:
D(E_F): 1.6 states/eV/f.u.
crystal system: orthorhombic
total moment: 0.00 μB/f.u.

Most stable one: run a, least stable one: run b.

Run a
This record from Alexandria describes a relaxed structure of VGeN. The functional is GGA-PBE.

Cell and atoms, written as extended XYZ:
```
6
Lattice="-4.614 3.644 1.652 -0.699 -2.264 3.041 3.234 1.261 1.682" Properties=species:S:1:pos:R:3 pbc="T T T"
V -0.510 3.286 2.329
V -2.476 1.524 3.009
Ge 1.376 0.616 0.775
Ge 2.643 0.115 3.136
N -1.905 2.335 1.300
N -0.638 1.833 3.662
```

Values from the calculation:
D(E_F): 1.1 states/eV/f.u.
crystal system: monoclinic
total moment: 0.00 μB/f.u.

Run b
This record from Alexandria describes a relaxed structure of VGeN. The functional is GGA-PBE.

Cell and atoms, written as extended XYZ:
```
6
Lattice="3.003 0.000 -0.001 0.000 3.878 0.000 -1.502 0.000 7.145" Properties=species:S:1:pos:R:3 pbc="T T T"
V -0.752 0.969 6.575
V 2.253 2.908 0.569
Ge 0.748 0.969 4.352
Ge 0.753 2.908 2.792
N 2.252 0.969 0.702
N -0.751 2.908 6.441
```

Values from the calculation:
D(E_F): 1.4 states/eV/f.u.
crystal system: orthorhombic
total moment: 0.00 μB/f.u.

Run c
This record from Alexandria describes a relaxed structure of VGeN. The functional is GGA-PBE.

Cell and atoms, written as extended XYZ:
```
3
Lattice="2.889 0.000 0.000 -1.444 2.502 0.000 0.000 0.000 4.977" Properties=species:S:1:pos:R:3 pbc="T T T"
V 0.000 1.668 2.669
Ge 0.000 0.000 4.653
N 0.000 0.000 1.537
```

Values from the calculation:
D(E_F): 1.3 states/eV/f.u.
crystal system: trigonal
total moment: 0.00 μB/f.u.

Most stable one: run b, least stable one: run a.